The following is a DFT calculation (PBE) of crystalline Dy3Zn4Ni2 at its relaxed geometry.

abc: 5.691 5.691 8.282
angles: 112.93 112.93 44.36
Positions (direct):
1 Dy 0.000 0.000 0.000
2 Dy 0.317 0.317 0.357
3 Dy 0.683 0.683 0.643
4 Zn 0.031 0.031 0.366
5 Zn 0.284 0.284 0.945
6 Zn 0.716 0.716 0.055
7 Zn 0.969 0.969 0.634
8 Ni 0.404 0.404 0.737
9 Ni 0.596 0.596 0.263

Results
V: 18.90 Å³ per atom
ΔE_f: -0.394 eV/atom

---

The following is a DFT calculation (PBE) of crystalline DyZn4Ni6 at its relaxed geometry.

abc: 6.262 6.262 6.262
angles: 122.87 122.87 85.09
Positions (direct):
1 Dy 0.000 0.000 0.000
2 Zn 0.096 0.508 0.000
3 Zn 0.492 0.492 0.589
4 Zn 0.508 0.096 0.000
5 Zn 0.904 0.904 0.411
6 Ni 0.000 0.500 0.500
7 Ni 0.262 0.262 0.679
8 Ni 0.417 0.738 0.000
9 Ni 0.500 0.000 0.500
10 Ni 0.583 0.583 0.321
11 Ni 0.738 0.417 0.000

Results
V: 15.04 Å³ per atom
ΔE_f: -0.051 eV/atom

---

Which value of V does entry 2 give? 15.04 Å³ per atom